## Pr2SmScTe4 (PBE)

Data for crystalline Pr2SmScTe4 at its relaxed geometry.

Lattice parameters (Å, degrees): 7.636 4.366 7.765 90.00 108.80 90.00
Fractional coordinates of all 8 atoms:
1 Pr 0.000 0.000 0.000
2 Pr 0.500 0.500 0.000
3 Sm 0.000 0.500 0.500
4 Sc 0.500 0.000 0.500
5 Te 0.255 0.000 0.736
6 Te 0.268 0.500 0.272
7 Te 0.732 0.500 0.728
8 Te 0.745 0.000 0.264

Results
N(E_F) (states/eV per atom): 0.65
SG: P2/m
VASP energy (eV for the cell shown): -43.8
E_form (uncorrected) (kJ per mole of atoms): -127.90

=====

## HgTeSe4 (PBE)

Data for crystalline HgTeSe4 at its relaxed geometry.

Lattice parameters (Å, degrees): 5.868 5.868 5.868 60.00 60.00 60.00
Fractional coordinates of all 6 atoms:
1 Hg 0.000 0.000 0.000
2 Te 0.250 0.250 0.250
3 Se 0.140 0.620 0.620
4 Se 0.620 0.140 0.620
5 Se 0.620 0.620 0.140
6 Se 0.620 0.620 0.620

Results
N(E_F) (states/eV per atom): 0.90
SG: F-43m
VASP energy (eV for the cell shown): -13.9
E_form (uncorrected) (kJ per mole of atoms): 55.87

=====

## La3PrTl4 (PBE)

Data for crystalline La3PrTl4 at its relaxed geometry.

Lattice parameters (Å, degrees): 10.348 10.348 10.348 158.72 137.27 48.21
Fractional coordinates of all 8 atoms:
1 La 0.000 0.000 0.000
2 La 0.287 0.787 0.500
3 La 0.713 0.213 0.500
4 Pr 0.500 0.500 0.000
5 Tl 0.081 0.373 0.708
6 Tl 0.335 0.627 0.708
7 Tl 0.665 0.373 0.292
8 Tl 0.919 0.627 0.292

Results
N(E_F) (states/eV per atom): 1.07
Energy of formation from the pure elements (meV/atom): -278
SG: Immm
VASP energy (eV for the cell shown): -31.2
Distance to the lowest polymorph of the same formula (eV per atom): 0.140